[1]
# Rb2TlZn (PBE, relaxed)
data_Rb2TlZn
_chemical_formula_sum 'Rb8 Tl4 Zn4'
_cell_length_a 8.866
_cell_length_b 8.866
_cell_length_c 8.866
_cell_angle_alpha 90.00
_cell_angle_beta 90.00
_cell_angle_gamma 90.00
_space_group_name_H-M_alt 'F m -3 m'
_space_group_IT_number 225
_space_group_name_Hall '-F 4 2 3'
loop_
_atom_site_label
_atom_site_fract_x
_atom_site_fract_y
_atom_site_fract_z
_atom_site_occupancy
Rb1 0.250 0.250 0.250 1
Tl1 0.000 0.000 0.000 1
Zn1 0.000 0.000 0.500 1
# distance to the lowest polymorph of the same formula: 151 meV per atom
# raw total energy: -1.199 eV per atom
# ΔE_f: 0.194 eV/atom

---

[2]
# Rb4Tl5Zn (PBE, relaxed)
data_Rb4Tl5Zn
_chemical_formula_sum 'Rb8 Tl10 Zn2'
_cell_length_a 10.988
_cell_length_b 10.988
_cell_length_c 7.315
_cell_angle_alpha 90.00
_cell_angle_beta 90.00
_cell_angle_gamma 90.00
_space_group_name_H-M_alt 'I 4'
_space_group_IT_number 79
_space_group_name_Hall 'I 4'
loop_
_atom_site_label
_atom_site_fract_x
_atom_site_fract_y
_atom_site_fract_z
_atom_site_occupancy
Rb1 0.069 0.305 0.000 1
Tl1 0.000 0.000 0.816 1
Tl2 0.075 0.189 0.491 1
Zn1 0.000 0.000 0.208 1
# raw total energy: -1.718 eV per atom
# ΔE_f: -0.020 eV/atom

---

[3]
# RbTlZn (PBE, relaxed)
data_RbTlZn
_chemical_formula_sum 'Rb2 Tl2 Zn2'
_cell_length_a 3.948
_cell_length_b 3.948
_cell_length_c 13.074
_cell_angle_alpha 90.00
_cell_angle_beta 90.00
_cell_angle_gamma 90.00
_space_group_name_H-M_alt 'I 4 m m'
_space_group_IT_number 107
_space_group_name_Hall 'I 4 -2'
loop_
_atom_site_label
_atom_site_fract_x
_atom_site_fract_y
_atom_site_fract_z
_atom_site_occupancy
Rb1 0.000 0.000 0.000 1
Tl1 0.000 0.000 0.287 1
Zn1 0.000 0.000 0.704 1
# distance to the lowest polymorph of the same formula: 42 meV per atom
# raw total energy: -1.463 eV per atom
# ΔE_f: 0.073 eV/atom

---

[4]
# RbTlZn (PBE, relaxed)
data_RbTlZn
_chemical_formula_sum 'Rb2 Tl2 Zn2'
_cell_length_a 6.943
_cell_length_b 4.458
_cell_length_c 6.952
_cell_angle_alpha 90.00
_cell_angle_beta 97.22
_cell_angle_gamma 90.00
_space_group_name_H-M_alt 'P 1 21/m 1'
_space_group_IT_number 11
_space_group_name_Hall '-P 2yb'
loop_
_atom_site_label
_atom_site_fract_x
_atom_site_fract_y
_atom_site_fract_z
_atom_site_occupancy
Rb1 0.242 0.250 0.423 1
Tl1 0.339 0.750 0.888 1
Zn1 0.063 0.250 0.928 1
# distance to the lowest polymorph of the same formula: 0 meV per atom
# raw total energy: -1.505 eV per atom
# ΔE_f: 0.031 eV/atom

---

[5]
# RbTl3Zn (PBE, relaxed)
data_RbTl3Zn
_chemical_formula_sum 'Rb1 Tl3 Zn1'
_cell_length_a 6.662
_cell_length_b 6.662
_cell_length_c 6.662
_cell_angle_alpha 90.00
_cell_angle_beta 90.00
_cell_angle_gamma 90.00
_space_group_name_H-M_alt 'P m -3 m'
_space_group_IT_number 221
_space_group_name_Hall '-P 4 2 3'
loop_
_atom_site_label
_atom_site_fract_x
_atom_site_fract_y
_atom_site_fract_z
_atom_site_occupancy
Rb1 0.000 0.000 0.000 1
Tl1 0.000 0.000 0.500 1
Zn1 0.500 0.500 0.500 1
# distance to the lowest polymorph of the same formula: 875 meV per atom
# raw total energy: -1.011 eV per atom
# ΔE_f: 0.857 eV/atom

---

[6]
# Rb6TlZn (PBE, relaxed)
data_Rb6TlZn
_chemical_formula_sum 'Rb12 Tl2 Zn2'
_cell_length_a 4.933
_cell_length_b 14.386
_cell_length_c 15.664
_cell_angle_alpha 90.00
_cell_angle_beta 90.00
_cell_angle_gamma 90.00
_space_group_name_H-M_alt 'A m m 2'
_space_group_IT_number 38
_space_group_name_Hall 'A 2 -2'
loop_
_atom_site_label
_atom_site_fract_x
_atom_site_fract_y
_atom_site_fract_z
_atom_site_occupancy
Rb1 0.000 0.000 0.000 1
Rb2 0.000 0.155 0.702 1
Rb3 0.500 0.000 0.272 1
Rb4 0.500 0.219 0.457 1
Tl1 0.000 0.000 0.487 1
Zn1 0.500 0.000 0.574 1
# raw total energy: -1.156 eV per atom
# ΔE_f: 0.024 eV/atom

---

[7]
# Rb2TlZn2 (PBE, relaxed)
data_Rb2TlZn2
_chemical_formula_sum 'Rb4 Tl2 Zn4'
_cell_length_a 7.104
_cell_length_b 7.104
_cell_length_c 8.162
_cell_angle_alpha 90.00
_cell_angle_beta 90.00
_cell_angle_gamma 90.00
_space_group_name_H-M_alt 'I 4/m m m'
_space_group_IT_number 139
_space_group_name_Hall '-I 4 2'
loop_
_atom_site_label
_atom_site_fract_x
_atom_site_fract_y
_atom_site_fract_z
_atom_site_occupancy
Rb1 0.000 0.500 0.250 1
Tl1 0.000 0.000 0.000 1
Zn1 0.000 0.000 0.345 1
# distance to the lowest polymorph of the same formula: 27 meV per atom
# raw total energy: -1.199 eV per atom
# ΔE_f: 0.171 eV/atom

---

[8]
# Rb2TlZn (PBE, relaxed)
data_Rb2TlZn
_chemical_formula_sum 'Rb8 Tl4 Zn4'
_cell_length_a 10.166
_cell_length_b 10.166
_cell_length_c 6.982
_cell_angle_alpha 90.00
_cell_angle_beta 90.00
_cell_angle_gamma 90.00
_space_group_name_H-M_alt 'I -4 2 d'
_space_group_IT_number 122
_space_group_name_Hall 'I -4 2bw'
loop_
_atom_site_label
_atom_site_fract_x
_atom_site_fract_y
_atom_site_fract_z
_atom_site_occupancy
Rb1 0.216 0.250 0.125 1
Tl1 0.000 0.000 0.500 1
Zn1 0.000 0.000 0.000 1
# distance to the lowest polymorph of the same formula: 185 meV per atom
# raw total energy: -1.165 eV per atom
# ΔE_f: 0.229 eV/atom

---

[9]
# Rb2TlZn (PBE, relaxed)
data_Rb2TlZn
_chemical_formula_sum 'Rb4 Tl2 Zn2'
_cell_length_a 12.062
_cell_length_b 6.938
_cell_length_c 4.950
_cell_angle_alpha 90.00
_cell_angle_beta 112.93
_cell_angle_gamma 90.00
_space_group_name_H-M_alt 'C 1 2 1'
_space_group_IT_number 5
_space_group_name_Hall 'C 2y'
loop_
_atom_site_label
_atom_site_fract_x
_atom_site_fract_y
_atom_site_fract_z
_atom_site_occupancy
Rb1 0.186 0.000 0.189 1
Tl1 0.000 0.500 0.000 1
Zn1 0.000 0.661 0.500 1
# distance to the lowest polymorph of the same formula: 0 meV per atom
# raw total energy: -1.350 eV per atom
# ΔE_f: 0.044 eV/atom

---

[10]
# RbTl3Zn (PBE, relaxed)
data_RbTl3Zn
_chemical_formula_sum 'Rb4 Tl12 Zn4'
_cell_length_a 9.593
_cell_length_b 15.791
_cell_length_c 4.328
_cell_angle_alpha 90.00
_cell_angle_beta 90.00
_cell_angle_gamma 90.00
_space_group_name_H-M_alt 'C m m m'
_space_group_IT_number 65
_space_group_name_Hall '-C 2 2'
loop_
_atom_site_label
_atom_site_fract_x
_atom_site_fract_y
_atom_site_fract_z
_atom_site_occupancy
Rb1 0.000 0.217 0.000 1
Tl1 0.000 0.000 0.500 1
Tl2 0.000 0.500 0.000 1
Tl3 0.195 0.380 0.500 1
Zn1 0.195 0.000 0.000 1
# distance to the lowest polymorph of the same formula: 0 meV per atom
# raw total energy: -1.887 eV per atom
# ΔE_f: -0.019 eV/atom

---

[11]
# RbTl3Zn (PBE, relaxed)
data_RbTl3Zn
_chemical_formula_sum 'Rb1 Tl3 Zn1'
_cell_length_a 5.595
_cell_length_b 5.595
_cell_length_c 5.595
_cell_angle_alpha 90.00
_cell_angle_beta 90.00
_cell_angle_gamma 90.00
_space_group_name_H-M_alt 'P m -3 m'
_space_group_IT_number 221
_space_group_name_Hall '-P 4 2 3'
loop_
_atom_site_label
_atom_site_fract_x
_atom_site_fract_y
_atom_site_fract_z
_atom_site_occupancy
Rb1 0.000 0.000 0.000 1
Tl1 0.000 0.500 0.500 1
Zn1 0.500 0.500 0.500 1
# distance to the lowest polymorph of the same formula: 107 meV per atom
# raw total energy: -1.779 eV per atom
# ΔE_f: 0.089 eV/atom

---

[12]
# Rb2TlZn2 (PBE, relaxed)
data_Rb2TlZn2
_chemical_formula_sum 'Rb4 Tl2 Zn4'
_cell_length_a 10.515
_cell_length_b 10.515
_cell_length_c 3.481
_cell_angle_alpha 90.00
_cell_angle_beta 90.00
_cell_angle_gamma 90.00
_space_group_name_H-M_alt 'P 4/m b m'
_space_group_IT_number 127
_space_group_name_Hall '-P 4 2ab'
loop_
_atom_site_label
_atom_site_fract_x
_atom_site_fract_y
_atom_site_fract_z
_atom_site_occupancy
Rb1 0.197 0.303 0.000 1
Tl1 0.000 0.000 0.000 1
Zn1 0.089 0.589 0.500 1
# distance to the lowest polymorph of the same formula: 99 meV per atom
# raw total energy: -1.127 eV per atom
# ΔE_f: 0.242 eV/atom